Entry A
4
Lattice="0.000 3.724 3.724 3.724 0.000 3.724 3.724 3.724 0.000" Properties=species:S:1:pos:R:3 comment="LaNdHgRh PBE relaxed" spacegroup="F-43m (216)" n_ef_per_ev_atom=0.596 pbc="T T T"
La 0.000 0.000 0.000
Nd 3.724 3.724 3.724
Hg 5.586 5.586 5.586
Rh 1.862 1.862 1.862

=====

Entry B
4
Lattice="2.092 1.208 7.761 -2.092 1.208 7.761 0.000 -2.415 7.761" Properties=species:S:1:pos:R:3 comment="LaNdHgRh PBE relaxed" spacegroup="R3m (160)" n_ef_per_ev_atom=0.708 pbc="T T T"
La 0.000 0.000 0.000
Nd 0.000 0.000 18.641
Hg 0.000 0.000 5.379
Rh 0.000 0.000 9.253

=====

The winner here is entry B, beating the second structure by 67 meV/atom.

=====

Entry A
4
Lattice="3.598 0.000 0.000 0.000 3.598 0.000 0.000 0.000 7.914" Properties=species:S:1:pos:R:3 comment="LaNdHgRu PBE relaxed" spacegroup="P4mm (99)" n_ef_per_ev_atom=1.121 pbc="T T T"
La 0.000 0.000 0.000
Nd 0.000 0.000 4.449
Hg 1.799 1.799 2.300
Ru 1.799 1.799 6.162

=====

Entry B
4
Lattice="0.000 3.703 3.703 3.703 0.000 3.703 3.703 3.703 0.000" Properties=species:S:1:pos:R:3 comment="LaNdHgRu PBE relaxed" spacegroup="F-43m (216)" n_ef_per_ev_atom=0.904 pbc="T T T"
La 0.000 0.000 0.000
Nd 3.703 3.703 3.703
Hg 1.852 1.852 1.852
Ru 5.555 5.555 5.555

=====

The winner here is entry A, beating the second structure by 82 meV/atom.

=====

Entry A
4
Lattice="0.000 3.951 3.951 3.951 0.000 3.951 3.951 3.951 0.000" Properties=species:S:1:pos:R:3 comment="LaNdYHg PBE relaxed" spacegroup="F-43m (216)" n_ef_per_ev_atom=1.602 pbc="T T T"
La 0.000 0.000 0.000
Nd 3.951 3.951 3.951
Y 5.926 5.926 5.926
Hg 1.975 1.975 1.975

=====

Entry B
4
Lattice="3.740 0.000 0.000 0.000 3.740 0.000 0.000 0.000 8.882" Properties=species:S:1:pos:R:3 comment="LaNdYHg PBE relaxed" spacegroup="P4mm (99)" n_ef_per_ev_atom=1.422 pbc="T T T"
La 0.000 0.000 0.000
Nd 1.870 1.870 6.336
Y 1.870 1.870 2.508
Hg 0.000 0.000 4.293

=====

The winner here is entry B, beating the second structure by 165 meV/atom.